A plane-wave DFT calculation with PBE-GGA was carried out for a geometry-optimized HfZrZn2In structure.

Values from the calculation:
ρ	9.07	Mg/m³
total DFT energy (no corrections)	-5.0290	eV/atom
crystal system	orthorhombic

Geometry as CIF:
```
data_HfZrZn2In
_cell_length_a 3.192
_cell_length_b 7.164
_cell_length_c 7.164
_cell_angle_alpha 35.17
_cell_angle_beta 90.00
_cell_angle_gamma 90.00
_symmetry_space_group_name_H-M 'P 1'
_symmetry_Int_Tables_number 1
_symmetry_space_group_name_Hall 'P 1'
loop_
_atom_site_label
_atom_site_type_symbol
_atom_site_fract_x
_atom_site_fract_y
_atom_site_fract_z
Zn1 Zn 0.500 0.202 0.202
Zn2 Zn 0.500 0.797 0.797
Hf1 Hf 0.000 0.622 0.622
In1 In 0.500 0.000 0.000
Zr1 Zr 0.000 0.379 0.379
```

A plane-wave DFT calculation with PBE-GGA was carried out for a geometry-optimized Hf2ZrIn2 structure.

Values from the calculation:
distance to the lowest polymorph of the same formula	0.0000	eV/atom
ρ	9.87	Mg/m³
total DFT energy (no corrections)	-6.6701	eV/atom
crystal system	tetragonal

Geometry as CIF:
```
data_Hf2ZrIn2
_cell_length_a 7.178
_cell_length_b 7.178
_cell_length_c 7.178
_cell_angle_alpha 146.18
_cell_angle_beta 146.18
_cell_angle_gamma 48.58
_symmetry_space_group_name_H-M 'P 1'
_symmetry_Int_Tables_number 1
_symmetry_space_group_name_Hall 'P 1'
loop_
_atom_site_label
_atom_site_type_symbol
_atom_site_fract_x
_atom_site_fract_y
_atom_site_fract_z
Hf1 Hf 0.250 0.750 0.500
Hf2 Hf 0.750 0.250 0.500
Zr1 Zr 0.000 0.000 0.000
In1 In 0.402 0.402 0.000
In2 In 0.598 0.598 0.000
```

A plane-wave DFT calculation with PBE-GGA was carried out for a geometry-optimized HfZrIn2 structure.

Values from the calculation:
distance to the lowest polymorph of the same formula	0.4917	eV/atom
ρ	9.11	Mg/m³
total DFT energy (no corrections)	-5.7419	eV/atom
crystal system	cubic

Geometry as CIF:
```
data_HfZrIn2
_cell_length_a 5.049
_cell_length_b 5.049
_cell_length_c 5.049
_cell_angle_alpha 60.00
_cell_angle_beta 60.00
_cell_angle_gamma 60.00
_symmetry_space_group_name_H-M 'P 1'
_symmetry_Int_Tables_number 1
_symmetry_space_group_name_Hall 'P 1'
loop_
_atom_site_label
_atom_site_type_symbol
_atom_site_fract_x
_atom_site_fract_y
_atom_site_fract_z
Hf1 Hf 0.500 0.500 0.500
In1 In 0.000 0.000 0.000
In2 In 0.750 0.750 0.750
Zr1 Zr 0.250 0.250 0.250
```

A plane-wave DFT calculation with PBE-GGA was carried out for a geometry-optimized HfZrIn2 structure.

Values from the calculation:
distance to the lowest polymorph of the same formula	0.0000	eV/atom
ρ	9.51	Mg/m³
total DFT energy (no corrections)	-6.2336	eV/atom
crystal system	tetragonal

Geometry as CIF:
```
data_HfZrIn2
_cell_length_a 4.434
_cell_length_b 4.434
_cell_length_c 4.436
_cell_angle_alpha 90.00
_cell_angle_beta 90.00
_cell_angle_gamma 90.00
_symmetry_space_group_name_H-M 'P 1'
_symmetry_Int_Tables_number 1
_symmetry_space_group_name_Hall 'P 1'
loop_
_atom_site_label
_atom_site_type_symbol
_atom_site_fract_x
_atom_site_fract_y
_atom_site_fract_z
In1 In 0.000 0.500 0.000
In2 In 0.500 0.000 0.000
Hf1 Hf 0.000 0.000 0.500
Zr1 Zr 0.500 0.500 0.500
```

A plane-wave DFT calculation with PBE-GGA was carried out for a geometry-optimized Hf5ZrIn2 structure.

Values from the calculation:
ρ	11.60	Mg/m³
total DFT energy (no corrections)	-8.1336	eV/atom
crystal system	orthorhombic

Geometry as CIF:
```
data_Hf5ZrIn2
_cell_length_a 6.263
_cell_length_b 12.526
_cell_length_c 4.429
_cell_angle_alpha 90.00
_cell_angle_beta 90.00
_cell_angle_gamma 90.00
_symmetry_space_group_name_H-M 'P 1'
_symmetry_Int_Tables_number 1
_symmetry_space_group_name_Hall 'P 1'
loop_
_atom_site_label
_atom_site_type_symbol
_atom_site_fract_x
_atom_site_fract_y
_atom_site_fract_z
Hf1 Hf 0.999 0.749 0.000
Hf2 Hf 0.748 0.874 0.500
Hf3 Hf 0.248 0.626 0.500
Hf4 Hf 0.252 0.126 0.500
Hf5 Hf 0.500 0.000 0.000
Hf6 Hf 0.001 0.251 0.000
Hf7 Hf 0.000 0.500 0.000
Hf8 Hf 0.501 0.249 0.000
Hf9 Hf 0.752 0.374 0.500
Hf10 Hf 0.499 0.751 0.000
In1 In 0.750 0.625 0.500
In2 In 0.250 0.875 0.500
In3 In 0.250 0.375 0.500
In4 In 0.750 0.125 0.500
Zr1 Zr 0.500 0.500 0.000
Zr2 Zr 0.000 0.000 0.000
```

A plane-wave DFT calculation with PBE-GGA was carried out for a geometry-optimized HfZr2In structure.

Values from the calculation:
ρ	8.96	Mg/m³
total DFT energy (no corrections)	-7.6580	eV/atom
crystal system	tetragonal

Geometry as CIF:
```
data_HfZr2In
_cell_length_a 4.452
_cell_length_b 4.452
_cell_length_c 4.446
_cell_angle_alpha 90.00
_cell_angle_beta 90.00
_cell_angle_gamma 90.00
_symmetry_space_group_name_H-M 'P 1'
_symmetry_Int_Tables_number 1
_symmetry_space_group_name_Hall 'P 1'
loop_
_atom_site_label
_atom_site_type_symbol
_atom_site_fract_x
_atom_site_fract_y
_atom_site_fract_z
Zr1 Zr 0.500 0.000 0.500
Zr2 Zr 0.000 0.500 0.500
In1 In 0.000 0.000 0.000
Hf1 Hf 0.500 0.500 0.000
```